Here is an optimized crystal structure of Cd2ReHg from Alexandria. Energies are from PBE.

The structure belongs to space group Pmmm (No. 47); the cell edges are 2.8808, 4.4330 and 6.0448 Å and the angles 90.00°, 90.00° and 90.00°. The distinct sites, in fractional coordinates, are Cd at (0.0000, 0.0000, 0.2301), Re at (0.5000, 0.5000, 0.0000) and Hg at (0.5000, 0.5000, 0.5000).

For the density of states at the Fermi level, the calculation gives 0.6975 states/eV per atom. The calculation puts the formation enthalpy at 0 K at 0.6080 eV/atom. The value obtained for the total magnetization is 0.00 μB per atom.

---

Here is an optimized crystal structure of CdRe2Hg from Alexandria. Energies are from PBE.

The structure belongs to space group I-4m2 (No. 119); the cell edges are 4.2768, 4.2768 and 7.5554 Å and the angles 90.00°, 90.00° and 90.00°. The distinct sites, in fractional coordinates, are Cd at (0.0000, 0.0000, 0.0000), Re at (0.0000, 0.0000, 0.5000), Re at (0.0000, 0.5000, 0.2500) and Hg at (0.0000, 0.5000, 0.7500).

For the density of states at the Fermi level, the calculation gives 0.7587 states/eV per atom. The energy relative to the lowest polymorph listed for this composition is 553 meV/atom. The calculation puts the formation enthalpy at 0 K at 0.8661 eV/atom. The value obtained for the total magnetization is 0.00 μB per atom.